! Sm7Y4Th | Alexandria | GGA-PBE | relaxed; values from VASP
&SYSTEM
  ibrav = 0, nat = 12, ntyp = 3
/
ATOMIC_SPECIES
Sm 150.36 Sm.upf
Y 88.91 Y.upf
Th 232.04 Th.upf
ATOMIC_POSITIONS angstrom
Sm 0.000 0.000 0.000
Sm -2.975 0.000 10.361
Sm -1.171 0.000 7.610
Sm 1.505 0.000 5.636
Sm 4.638 0.000 5.606
Sm 7.315 0.000 3.632
Sm 9.119 0.000 0.882
Y -1.105 0.000 3.579
Y 3.047 0.000 2.509
Y 3.097 0.000 8.733
Y 7.249 0.000 7.663
Th 6.066 0.000 0.000
CELL_PARAMETERS angstrom
6.066 -3.019 0.000
6.066 3.019 0.000
-5.989 0.000 11.242
! * E_form: 3.349 eV per formula unit
! * offset from the most stable computed form: 123 meV/atom
! * SG: C2/m
! * N(E_F): 17.22 states/eV/cell

---

! K3TcP | Alexandria | GGA-PBE | relaxed; values from VASP
&SYSTEM
  ibrav = 0, nat = 5, ntyp = 3
/
ATOMIC_SPECIES
K 39.10 K.upf
Tc 98.00 Tc.upf
P 30.97 P.upf
ATOMIC_POSITIONS angstrom
K 0.000 0.000 3.110
K 0.000 3.110 0.000
K 3.110 0.000 0.000
Tc 3.110 3.110 3.110
P 0.000 0.000 0.000
CELL_PARAMETERS angstrom
6.220 0.000 0.000
0.000 6.220 0.000
0.000 0.000 6.220
! * E_form: 5.137 eV per formula unit
! * offset from the most stable computed form: 0 meV/atom
! * SG: Pm-3m
! * N(E_F): 10.96 states/eV/cell

---

! AlCuBr2 | Alexandria | GGA-PBE | relaxed; values from VASP
&SYSTEM
  ibrav = 0, nat = 4, ntyp = 3
/
ATOMIC_SPECIES
Al 26.98 Al.upf
Cu 63.55 Cu.upf
Br 79.90 Br.upf
ATOMIC_POSITIONS angstrom
Al 0.000 0.000 0.000
Cu 3.346 1.690 0.599
Br -0.795 1.690 4.945
Br 1.702 0.000 1.774
CELL_PARAMETERS angstrom
5.060 0.000 0.000
0.000 3.380 0.000
-2.005 0.000 6.506
! * ΔE_f (raw): -365 meV per atom
! * offset from the most stable computed form: 0 meV/atom
! * SG: Pm

---

Number 1: electronic total energy -5.2467 eV per atom. Number 2: electronic total energy -2.7863 eV per atom. Number 3: electronic total energy -3.1610 eV per atom.